This record from Alexandria describes a relaxed structure of Mg11Cu2O13. The functional is PBE-GGA.

Electronic total energy   -302.09 eV for the cell shown
Formation energy from raw total energies   -2.3405 eV/atom
Calculated density   3.991 g/cm3

Cell lengths 3.0160, 4.2468, 39.1419 Å; angles 90.00, 90.00, 90.00 degrees
With the nearest neighbours (Å) after each atom.
Space group Immm (No. 71)
One atom of each set of equivalent atoms:
1 Mg 0.0000 0.0000 0.0000 [2 per cell]  6 O 2.12-2.13
2 Mg 0.0000 0.0000 0.0767 [4 per cell]  6 O 2.11-2.13
3 Mg 0.0000 0.0000 0.2311 [4 per cell]  6 O 2.12-2.13
4 Mg 0.0000 0.0000 0.3082 [4 per cell]  6 O 2.12-2.14
5 Mg 0.0000 0.0000 0.3842 [4 per cell]  6 O 2.12-2.14
6 Mg 0.0000 0.0000 0.4615 [4 per cell]  6 O 2.12-2.13
7 Cu 0.0000 0.0000 0.1539 [4 per cell]  6 O 2.12-2.15
8 O 0.0000 0.5000 0.0000 [2 per cell]  6 Mg 2.12-2.13
9 O 0.0000 0.5000 0.0769 [4 per cell]  6 Mg 2.12-2.14
10 O 0.0000 0.5000 0.1538 [4 per cell]  4 Mg 2.12, 2 Cu 2.12
11 O 0.0000 0.5000 0.2306 [4 per cell]  6 Mg 2.12-2.14
12 O 0.0000 0.5000 0.3069 [4 per cell]  4 Mg 2.12, 2 Cu 2.15
13 O 0.0000 0.5000 0.3854 [4 per cell]  4 Mg 2.11-2.12, 2 Cu 2.15
14 O 0.0000 0.5000 0.4616 [4 per cell]  6 Mg 2.12-2.13